Entry 1:
The following is a PBE-GGA calculation of an optimized crystal structure of MgTa2Au, from the Alexandria database.

```
MgTa2Au
1.0
3.318 0.000 0.000
0.000 4.382 0.000
0.000 0.000 4.940
Au Ta Mg
1 2 1
Cartesian
1.659 0.000 2.470
1.659 2.191 0.000
0.000 0.000 0.000
0.000 2.191 2.470
```

## Properties
* VASP energy: -7.106 eV per atom
* V: 18.0 Å³/atom
* D(E_F): 0.9335 states/eV/atom
* E_form: 0.0381 eV per atom

Entry 2:
The following is a PBE-GGA calculation of an optimized crystal structure of LiPuCu2O8, from the Alexandria database.

```
LiPuCu2O8
1.0
5.727 0.460 0.000
-2.127 5.337 0.000
-1.800 -2.899 4.623
Li O Pu Cu
1 8 1 2
Cartesian
0.000 0.000 0.000
4.273 0.988 1.513
3.322 3.548 0.951
-0.093 1.652 3.672
0.093 -1.652 3.672
1.454 -0.527 1.513
2.917 1.830 3.109
0.277 2.250 0.951
2.810 -1.369 3.109
-1.064 2.669 2.311
2.863 0.230 2.311
1.800 2.899 0.000
```

## Properties
* VASP energy: -6.246 eV per atom
* uncorrected formation energy: -904 meV/atom
* V: 12.2 Å³/atom
* D(E_F): 0.6499 states/eV/atom

Entry 3:
The following is a PBE-GGA calculation of an optimized crystal structure of Tl3Pb5S12, from the Alexandria database.

```
Tl3Pb5S12
1.0
14.360 0.000 0.000
-4.787 13.538 0.000
-4.787 -6.769 11.725
Pb S Tl
20 48 12
Cartesian
1.197 -3.385 8.793
7.180 0.000 0.000
5.983 3.385 8.793
-4.787 3.385 5.862
0.000 0.000 0.000
-1.197 11.000 1.466
4.787 6.769 0.000
3.590 10.154 2.931
-3.590 7.615 4.397
1.197 4.231 10.259
5.983 5.923 4.397
-2.393 6.769 0.000
3.590 2.538 1.466
-1.197 3.385 2.931
2.393 3.385 5.862
4.787 -3.385 5.862
5.983 -4.231 10.259
-1.197 0.846 7.328
-2.393 -3.385 5.862
8.376 -0.846 7.328
10.656 3.126 3.297
-5.869 3.643 8.427
3.476 5.735 4.804
1.789 5.139 7.954
1.311 1.034 6.921
-4.182 6.073 6.335
-1.311 -3.643 8.427
2.931 8.588 1.033
1.855 -1.819 10.691
5.325 1.819 10.691
5.869 -1.034 6.921
6.097 10.412 3.297
-2.998 7.704 9.160
10.111 6.755 2.092
-2.453 -5.303 11.251
0.605 8.400 7.954
8.968 0.696 5.389
2.453 -2.242 6.895
0.060 4.527 4.829
7.240 12.072 0.473
5.391 5.835 9.160
-3.704 11.446 1.506
9.633 -3.061 7.369
1.855 1.804 10.666
6.642 6.784 2.092
-0.605 0.934 2.565
2.931 4.965 1.058
-1.083 7.803 4.804
-5.325 0.015 9.633
-1.311 4.677 10.218
4.726 2.242 6.895
7.240 3.708 4.356
2.333 9.011 4.829
8.490 -4.677 10.218
-1.855 -0.015 9.633
-4.847 9.830 4.356
-2.453 3.061 7.369
-0.538 8.573 1.058
9.513 1.466 0.473
5.325 -1.804 10.666
-4.726 5.303 11.251
4.182 -1.631 3.771
6.575 7.465 6.335
-1.789 -0.696 5.389
-0.538 4.950 1.033
2.998 1.631 3.771
6.097 2.092 1.506
7.784 -0.934 2.565
1.197 6.769 2.931
-3.590 -2.538 10.259
10.770 0.000 2.931
8.376 9.308 1.466
-3.590 2.538 10.259
3.590 7.615 7.328
3.590 0.000 8.793
-1.197 5.923 7.328
5.983 0.846 4.397
8.376 4.231 1.466
1.197 -0.846 4.397
-5.983 6.769 8.793
```

## Properties
* VASP energy: -3.750 eV per atom
* uncorrected formation energy: 8 meV/atom
* V: 28.5 Å³/atom
* D(E_F): 0.8113 states/eV/atom

Entry 4:
The following is a PBE-GGA calculation of an optimized crystal structure of YCrCu3, from the Alexandria database.

```
YCrCu3
1.0
-3.750 2.589 -0.325
-2.144 -3.382 -2.199
-1.487 -1.653 3.992
Cr Cu Y
1 3 1
Cartesian
0.000 0.000 0.000
-1.875 1.295 -0.163
-1.072 -1.691 -1.100
-0.743 -0.826 1.996
-3.691 -1.223 0.734
```

## Properties
* E above lowest polymorph: 0.0 meV/atom
* VASP energy: -5.152 eV per atom
* V: 19.1 Å³/atom
* D(E_F): 0.6235 states/eV/atom
* E_form: 0.5231 eV per atom

Entry 5:
The following is a PBE-GGA calculation of an optimized crystal structure of Er2Mg3Ru2, from the Alexandria database.

```
Er2Mg3Ru2
1.0
-0.469 -2.049 3.790
0.564 -3.397 -4.245
6.831 0.952 1.361
Ru Mg Er
2 3 2
Cartesian
2.439 -4.393 0.405
4.487 -0.102 0.501
1.173 -2.661 -1.293
5.753 -1.834 2.199
0.000 0.000 0.000
4.533 -2.676 -0.886
2.393 -1.818 1.791
```

## Properties
* VASP energy: -4.868 eV per atom
* V: 21.6 Å³/atom
* D(E_F): 0.5924 states/eV/atom
* E_form: -0.2306 eV per atom

Entry 6:
The following is a PBE-GGA calculation of an optimized crystal structure of Cs3Ac3CeTe8, from the Alexandria database.

```
Cs3Ac3CeTe8
1.0
-3.646 1.627 8.760
2.006 -8.996 -2.784
8.307 6.304 2.287
Ac Te Cs Ce
3 8 3 1
Cartesian
2.331 3.965 5.523
3.334 -0.533 4.131
5.157 -1.346 -0.249
4.949 -3.155 5.445
2.565 -2.474 1.527
-0.211 2.951 7.454
4.103 1.409 6.736
0.851 -1.809 5.980
1.719 2.090 2.817
5.817 0.744 2.283
6.879 -4.016 0.809
1.003 -4.498 -1.392
0.000 0.000 0.000
-0.820 -3.685 2.988
4.154 3.152 1.143
```

## Properties
* VASP energy: -4.493 eV per atom
* uncorrected formation energy: -1429 meV/atom
* V: 48.8 Å³/atom